[1]
The following is a DFT calculation (PBE-GGA) of an optimized crystal structure of BaZnRh.

total magnetic moment: 0.00 μB per formula unit
ΔE_f: -0.44 eV per formula unit
space-group type: Imma
crystal system: orthorhombic
mass density: 6.052 g/cm³
DOS(E_F): 5.65 states/eV/cell

The structure in CIF format:
```
data_BaZnRh
_cell_length_a 5.132
_cell_length_b 6.409
_cell_length_c 6.407
_cell_angle_alpha 64.65
_cell_angle_beta 66.43
_cell_angle_gamma 66.40
_symmetry_space_group_name_H-M 'P 1'
_symmetry_Int_Tables_number 1
loop_
_symmetry_equiv_pos_as_xyz
'x,y,z'
loop_
_atom_site_label
_atom_site_type_symbol
_atom_site_fract_x
_atom_site_fract_y
_atom_site_fract_z
Rh1 Rh 0.461 0.268 0.955
Rh2 Rh 0.961 0.268 0.955
Zn1 Zn 0.710 0.599 0.624
Zn2 Zn 0.211 0.937 0.286
Ba1 Ba 0.461 0.268 0.455
Ba2 Ba 0.961 0.768 0.955
```

***

[2]
The following is a DFT calculation (PBE-GGA) of an optimized crystal structure of Ba2Zn3Rh.

total magnetic moment: 0.00 μB per formula unit
ΔE_f: -1.46 eV per formula unit
energy above the lowest structure with this stoichiometry: 0 meV per atom
space-group type: Fmmm
crystal system: orthorhombic
mass density: 5.743 g/cm³
DOS(E_F): 10.65 states/eV/cell

The structure in CIF format:
```
data_Ba2Zn3Rh
_cell_length_a 6.542
_cell_length_b 6.542
_cell_length_c 9.032
_cell_angle_alpha 111.29
_cell_angle_beta 111.28
_cell_angle_gamma 89.87
_symmetry_space_group_name_H-M 'P 1'
_symmetry_Int_Tables_number 1
loop_
_symmetry_equiv_pos_as_xyz
'x,y,z'
loop_
_atom_site_label
_atom_site_type_symbol
_atom_site_fract_x
_atom_site_fract_y
_atom_site_fract_z
Zn1 Zn 0.830 0.342 0.172
Zn2 Zn 0.658 0.170 0.828
Zn3 Zn 0.170 0.658 0.828
Zn4 Zn 0.825 0.825 0.650
Zn5 Zn 0.342 0.830 0.172
Zn6 Zn 0.175 0.175 0.350
Ba1 Ba 0.744 0.744 0.000
Ba2 Ba 0.250 0.750 0.500
Ba3 Ba 0.750 0.250 0.500
Ba4 Ba 0.256 0.256 0.000
Rh1 Rh 0.339 0.339 0.678
Rh2 Rh 0.661 0.661 0.322
```

***

[3]
The following is a DFT calculation (PBE-GGA) of an optimized crystal structure of Ba2ZnRh2.

total magnetic moment: 0.00 μB per formula unit
ΔE_f: -1.37 eV per formula unit
space-group type: R-3m
crystal system: trigonal
mass density: 5.394 g/cm³
DOS(E_F): 6.35 states/eV/cell

The structure in CIF format:
```
data_Ba2ZnRh2
_cell_length_a 4.516
_cell_length_b 4.516
_cell_length_c 9.864
_cell_angle_alpha 76.77
_cell_angle_beta 76.77
_cell_angle_gamma 60.00
_symmetry_space_group_name_H-M 'P 1'
_symmetry_Int_Tables_number 1
loop_
_symmetry_equiv_pos_as_xyz
'x,y,z'
loop_
_atom_site_label
_atom_site_type_symbol
_atom_site_fract_x
_atom_site_fract_y
_atom_site_fract_z
Rh1 Rh 0.679 0.679 0.963
Rh2 Rh 0.321 0.321 0.037
Zn1 Zn 0.000 0.000 0.000
Ba1 Ba 0.577 0.577 0.268
Ba2 Ba 0.423 0.423 0.732
```

***

[4]
The following is a DFT calculation (PBE-GGA) of an optimized crystal structure of Ba2Zn3Rh2.

total magnetic moment: 0.00 μB per formula unit
ΔE_f: -2.27 eV per formula unit
space-group type: C2/m
crystal system: monoclinic
mass density: 6.858 g/cm³
DOS(E_F): 4.19 states/eV/cell

The structure in CIF format:
```
data_Ba2Zn3Rh2
_cell_length_a 4.258
_cell_length_b 6.153
_cell_length_c 7.694
_cell_angle_alpha 117.94
_cell_angle_beta 90.00
_cell_angle_gamma 110.24
_symmetry_space_group_name_H-M 'P 1'
_symmetry_Int_Tables_number 1
loop_
_symmetry_equiv_pos_as_xyz
'x,y,z'
loop_
_atom_site_label
_atom_site_type_symbol
_atom_site_fract_x
_atom_site_fract_y
_atom_site_fract_z
Zn1 Zn 0.332 0.664 0.574
Zn2 Zn 0.500 0.000 0.000
Zn3 Zn 0.668 0.336 0.426
Ba1 Ba 0.869 0.739 0.236
Ba2 Ba 0.131 0.261 0.764
Rh1 Rh 0.130 0.259 0.198
Rh2 Rh 0.870 0.741 0.802
```

***

[5]
The following is a DFT calculation (PBE-GGA) of an optimized crystal structure of Ba5Zn5Rh2.

total magnetic moment: 0.00 μB per formula unit
ΔE_f: -2.93 eV per formula unit
space-group type: C2/m
crystal system: monoclinic
mass density: 5.342 g/cm³
DOS(E_F): 7.20 states/eV/cell

The structure in CIF format:
```
data_Ba5Zn5Rh2
_cell_length_a 4.490
_cell_length_b 8.880
_cell_length_c 10.096
_cell_angle_alpha 83.58
_cell_angle_beta 77.15
_cell_angle_gamma 75.36
_symmetry_space_group_name_H-M 'P 1'
_symmetry_Int_Tables_number 1
loop_
_symmetry_equiv_pos_as_xyz
'x,y,z'
loop_
_atom_site_label
_atom_site_type_symbol
_atom_site_fract_x
_atom_site_fract_y
_atom_site_fract_z
Rh1 Rh 0.389 0.463 0.760
Rh2 Rh 0.611 0.537 0.240
Zn1 Zn 0.000 0.000 0.000
Zn2 Zn 0.298 0.743 0.662
Zn3 Zn 0.927 0.332 0.815
Zn4 Zn 0.073 0.668 0.185
Zn5 Zn 0.702 0.257 0.338
Ba1 Ba 0.386 0.914 0.314
Ba2 Ba 0.614 0.086 0.686
Ba3 Ba 0.000 0.500 0.500
Ba4 Ba 0.307 0.309 0.077
Ba5 Ba 0.693 0.691 0.923
```

***

[6]
The following is a DFT calculation (PBE-GGA) of an optimized crystal structure of Ba3ZnRh.

total magnetic moment: 0.00 μB per formula unit
ΔE_f: -0.24 eV per formula unit
energy above the lowest structure with this stoichiometry: 142 meV per atom
space-group type: Pm-3m
crystal system: cubic
mass density: 4.402 g/cm³
DOS(E_F): 6.93 states/eV/cell

The structure in CIF format:
```
data_Ba3ZnRh
_cell_length_a 6.027
_cell_length_b 6.027
_cell_length_c 6.027
_cell_angle_alpha 90.00
_cell_angle_beta 90.00
_cell_angle_gamma 90.00
_symmetry_space_group_name_H-M 'P 1'
_symmetry_Int_Tables_number 1
loop_
_symmetry_equiv_pos_as_xyz
'x,y,z'
loop_
_atom_site_label
_atom_site_type_symbol
_atom_site_fract_x
_atom_site_fract_y
_atom_site_fract_z
Ba1 Ba 0.000 0.000 0.500
Ba2 Ba 0.000 0.500 0.000
Ba3 Ba 0.500 0.000 0.000
Rh1 Rh 0.000 0.000 0.000
Zn1 Zn 0.500 0.500 0.500
```

***

[7]
The following is a DFT calculation (PBE-GGA) of an optimized crystal structure of BaZnRh.

total magnetic moment: 0.00 μB per formula unit
ΔE_f: -0.45 eV per formula unit
space-group type: Imm2
crystal system: orthorhombic
mass density: 7.158 g/cm³
DOS(E_F): 1.89 states/eV/cell

The structure in CIF format:
```
data_BaZnRh
_cell_length_a 6.127
_cell_length_b 6.127
_cell_length_c 6.127
_cell_angle_alpha 144.45
_cell_angle_beta 147.82
_cell_angle_gamma 48.70
_symmetry_space_group_name_H-M 'P 1'
_symmetry_Int_Tables_number 1
loop_
_symmetry_equiv_pos_as_xyz
'x,y,z'
loop_
_atom_site_label
_atom_site_type_symbol
_atom_site_fract_x
_atom_site_fract_y
_atom_site_fract_z
Ba1 Ba 0.000 0.000 0.000
Rh1 Rh 0.277 0.277 0.000
Zn1 Zn 0.722 0.722 0.000
```

***

[8]
The following is a DFT calculation (PBE-GGA) of an optimized crystal structure of Ba2Zn4Rh.

total magnetic moment: 0.00 μB per formula unit
ΔE_f: -1.58 eV per formula unit
space-group type: I4/mmm
crystal system: tetragonal
mass density: 5.190 g/cm³
DOS(E_F): 5.63 states/eV/cell

The structure in CIF format:
```
data_Ba2Zn4Rh
_cell_length_a 4.930
_cell_length_b 4.930
_cell_length_c 9.109
_cell_angle_alpha 74.30
_cell_angle_beta 74.30
_cell_angle_gamma 90.00
_symmetry_space_group_name_H-M 'P 1'
_symmetry_Int_Tables_number 1
loop_
_symmetry_equiv_pos_as_xyz
'x,y,z'
loop_
_atom_site_label
_atom_site_type_symbol
_atom_site_fract_x
_atom_site_fract_y
_atom_site_fract_z
Zn1 Zn 0.500 0.000 0.000
Zn2 Zn 0.000 0.500 0.000
Zn3 Zn 0.145 0.145 0.711
Zn4 Zn 0.855 0.855 0.289
Rh1 Rh 0.000 0.000 0.000
Ba1 Ba 0.354 0.354 0.292
Ba2 Ba 0.646 0.646 0.708
```

***

[9]
The following is a DFT calculation (PBE-GGA) of an optimized crystal structure of Ba2ZnRh2.

total magnetic moment: 0.00 μB per formula unit
ΔE_f: -1.26 eV per formula unit
space-group type: C2/c
crystal system: monoclinic
mass density: 7.099 g/cm³
DOS(E_F): 4.12 states/eV/cell

The structure in CIF format:
```
data_Ba2ZnRh2
_cell_length_a 6.125
_cell_length_b 6.032
_cell_length_c 8.216
_cell_angle_alpha 100.69
_cell_angle_beta 90.00
_cell_angle_gamma 120.51
_symmetry_space_group_name_H-M 'P 1'
_symmetry_Int_Tables_number 1
loop_
_symmetry_equiv_pos_as_xyz
'x,y,z'
loop_
_atom_site_label
_atom_site_type_symbol
_atom_site_fract_x
_atom_site_fract_y
_atom_site_fract_z
Rh1 Rh 0.739 0.743 0.489
Rh2 Rh 0.261 0.257 0.511
Rh3 Rh 0.996 0.257 0.011
Rh4 Rh 0.004 0.743 0.989
Ba1 Ba 0.521 0.300 0.149
Ba2 Ba 0.479 0.700 0.851
Ba3 Ba 0.221 0.700 0.351
Ba4 Ba 0.779 0.300 0.649
Zn1 Zn 0.911 0.000 0.250
Zn2 Zn 0.089 0.000 0.750
```

***

[10]
The following is a DFT calculation (PBE-GGA) of an optimized crystal structure of BaZnRh.

total magnetic moment: 0.00 μB per formula unit
ΔE_f: -0.96 eV per formula unit
space-group type: P4/nmm
crystal system: tetragonal
mass density: 6.247 g/cm³
DOS(E_F): 3.14 states/eV/cell

The structure in CIF format:
```
data_BaZnRh
_cell_length_a 4.688
_cell_length_b 4.687
_cell_length_c 7.396
_cell_angle_alpha 89.97
_cell_angle_beta 90.00
_cell_angle_gamma 90.01
_symmetry_space_group_name_H-M 'P 1'
_symmetry_Int_Tables_number 1
loop_
_symmetry_equiv_pos_as_xyz
'x,y,z'
loop_
_atom_site_label
_atom_site_type_symbol
_atom_site_fract_x
_atom_site_fract_y
_atom_site_fract_z
Ba1 Ba 0.314 0.366 0.221
Ba2 Ba 0.814 0.867 0.618
Zn1 Zn 0.314 0.367 0.775
Zn2 Zn 0.813 0.866 0.065
Rh1 Rh 0.814 0.366 0.920
Rh2 Rh 0.313 0.867 0.920
```

***

[11]
The following is a DFT calculation (PBE-GGA) of an optimized crystal structure of Ba3ZnRh.

total magnetic moment: 0.00 μB per formula unit
ΔE_f: -0.95 eV per formula unit
energy above the lowest structure with this stoichiometry: 0 meV per atom
space-group type: P2_1/m
crystal system: monoclinic
mass density: 4.866 g/cm³
DOS(E_F): 9.10 states/eV/cell

The structure in CIF format:
```
data_Ba3ZnRh
_cell_length_a 4.431
_cell_length_b 7.648
_cell_length_c 11.688
_cell_angle_alpha 90.03
_cell_angle_beta 90.00
_cell_angle_gamma 90.00
_symmetry_space_group_name_H-M 'P 1'
_symmetry_Int_Tables_number 1
loop_
_symmetry_equiv_pos_as_xyz
'x,y,z'
loop_
_atom_site_label
_atom_site_type_symbol
_atom_site_fract_x
_atom_site_fract_y
_atom_site_fract_z
Rh1 Rh 0.250 0.129 0.250
Rh2 Rh 0.750 0.871 0.750
Zn1 Zn 0.250 0.458 0.250
Zn2 Zn 0.750 0.542 0.750
Ba1 Ba 0.250 0.747 0.930
Ba2 Ba 0.750 0.812 0.250
Ba3 Ba 0.750 0.253 0.070
Ba4 Ba 0.250 0.747 0.570
Ba5 Ba 0.750 0.253 0.430
Ba6 Ba 0.250 0.188 0.750
```

***

[12]
The following is a DFT calculation (PBE-GGA) of an optimized crystal structure of Ba2Zn2Rh.

total magnetic moment: 0.00 μB per formula unit
ΔE_f: 1.31 eV per formula unit
energy above the lowest structure with this stoichiometry: 537 meV per atom
space-group type: P4/mbm
crystal system: tetragonal
mass density: 5.134 g/cm³
DOS(E_F): 8.35 states/eV/cell

The structure in CIF format:
```
data_Ba2Zn2Rh
_cell_length_a 8.405
_cell_length_b 8.405
_cell_length_c 4.655
_cell_angle_alpha 90.00
_cell_angle_beta 90.00
_cell_angle_gamma 90.00
_symmetry_space_group_name_H-M 'P 1'
_symmetry_Int_Tables_number 1
loop_
_symmetry_equiv_pos_as_xyz
'x,y,z'
loop_
_atom_site_label
_atom_site_type_symbol
_atom_site_fract_x
_atom_site_fract_y
_atom_site_fract_z
Ba1 Ba 0.313 0.813 0.000
Ba2 Ba 0.813 0.687 0.000
Ba3 Ba 0.687 0.187 0.000
Ba4 Ba 0.187 0.313 0.000
Rh1 Rh 0.500 0.500 0.000
Rh2 Rh 0.000 0.000 0.000
Zn1 Zn 0.612 0.888 0.500
Zn2 Zn 0.888 0.388 0.500
Zn3 Zn 0.388 0.112 0.500
Zn4 Zn 0.112 0.612 0.500
```

***

[13]
The following is a DFT calculation (PBE-GGA) of an optimized crystal structure of Ba2Zn3Rh.

total magnetic moment: 0.00 μB per formula unit
ΔE_f: -0.45 eV per formula unit
energy above the lowest structure with this stoichiometry: 168 meV per atom
space-group type: Immm
crystal system: orthorhombic
mass density: 5.894 g/cm³
DOS(E_F): 3.75 states/eV/cell

The structure in CIF format:
```
data_Ba2Zn3Rh
_cell_length_a 4.619
_cell_length_b 5.566
_cell_length_c 7.254
_cell_angle_alpha 112.56
_cell_angle_beta 108.56
_cell_angle_gamma 90.00
_symmetry_space_group_name_H-M 'P 1'
_symmetry_Int_Tables_number 1
loop_
_symmetry_equiv_pos_as_xyz
'x,y,z'
loop_
_atom_site_label
_atom_site_type_symbol
_atom_site_fract_x
_atom_site_fract_y
_atom_site_fract_z
Rh1 Rh 0.000 0.500 0.000
Zn1 Zn 0.404 0.404 0.809
Zn2 Zn 0.000 0.000 0.000
Zn3 Zn 0.596 0.596 0.191
Ba1 Ba 0.298 0.798 0.596
Ba2 Ba 0.702 0.202 0.404
```